# 1
Nd9Ho2In | PBE-GGA | optimized geometry

E in eV for the cell shown: -55.66
Energy of formation in eV/atom: -0.072
Calculated volume in Å³/atom: 33.15

Lattice parameters (Å, degrees): 5.0671 5.0671 15.4916 90.00 90.00 90.00
Sites, in units of the cell vectors:
1 Nd 0.0000 0.0000 0.0000
2 Nd 0.0000 0.0000 0.3307
3 Nd 0.0000 0.0000 0.6693
4 Nd 0.0000 0.5000 0.1616
5 Nd 0.0000 0.5000 0.5000
6 Nd 0.0000 0.5000 0.8384
7 Nd 0.5000 0.0000 0.1616
8 Nd 0.5000 0.0000 0.5000
9 Nd 0.5000 0.0000 0.8384
10 Ho 0.5000 0.5000 0.3317
11 Ho 0.5000 0.5000 0.6683
12 In 0.5000 0.5000 0.0000

# 2
SbSCl | PBE-GGA | optimized geometry

Formation energy from raw total energies in eV/atom: -0.490
E in eV for the cell shown: -11.57
Calculated volume in Å³/atom: 30.75

Lattice parameters (Å, degrees): 3.9379 3.9379 6.8683 90.00 90.00 120.00
Sites, in units of the cell vectors:
1 Sb 0.0000 0.0000 0.0000
2 S 0.3333 0.6667 0.7940
3 Cl 0.6667 0.3333 0.2562

# 3
ZnTeSe | PBE-GGA | optimized geometry

Formation energy from raw total energies in eV/atom: -0.195
Polymorph energy (0 for the lowest one) in eV per atom: 0.148
E in eV for the cell shown: -16.97
Calculated volume in Å³/atom: 28.90

Lattice parameters (Å, degrees): 3.6689 6.0795 7.7742 90.00 90.00 90.00
Sites, in units of the cell vectors:
1 Zn 0.0000 0.2376 0.0000
2 Zn 0.5000 0.7624 0.5000
3 Te 0.0000 0.3287 0.3230
4 Te 0.5000 0.6713 0.8230
5 Se 0.0000 0.8345 0.3074
6 Se 0.5000 0.1655 0.8074

# 4
CeUAs2Rh5 | PBE-GGA | optimized geometry

E in eV for the cell shown: -68.47
Energy of formation in eV/atom: -0.577
Calculated volume in Å³/atom: 20.05

Lattice parameters (Å, degrees): 3.9647 3.9647 11.4792 90.00 90.00 90.00
Sites, in units of the cell vectors:
1 Ce 0.0000 0.0000 0.0000
2 U 0.0000 0.0000 0.5000
3 As 0.5000 0.5000 0.2102
4 As 0.5000 0.5000 0.7898
5 Rh 0.0000 0.5000 0.3383
6 Rh 0.0000 0.5000 0.6617
7 Rh 0.5000 0.0000 0.3383
8 Rh 0.5000 0.0000 0.6617
9 Rh 0.5000 0.5000 0.0000

# 5
Sc2CuNi9 | PBE-GGA | optimized geometry

Polymorph energy (0 for the lowest one) in eV per atom: 0.044
E in eV for the cell shown: -71.13
Energy of formation in eV/atom: -0.195
Calculated volume in Å³/atom: 12.94

Lattice parameters (Å, degrees): 8.3225 8.3225 8.3225 33.37 33.37 33.37
Sites, in units of the cell vectors:
1 Sc 0.1354 0.1354 0.1354
2 Sc 0.8646 0.8646 0.8646
3 Cu 0.0000 0.0000 0.0000
4 Ni 0.0807 0.5849 0.5849
5 Ni 0.3334 0.3334 0.3334
6 Ni 0.4151 0.4151 0.9193
7 Ni 0.4151 0.9193 0.4151
8 Ni 0.5000 0.5000 0.5000
9 Ni 0.5849 0.0807 0.5849
10 Ni 0.5849 0.5849 0.0807
11 Ni 0.6666 0.6666 0.6666
12 Ni 0.9193 0.4151 0.4151

# 6
ZrH2Au2 | PBE-GGA | optimized geometry

Polymorph energy (0 for the lowest one) in eV per atom: 0.074
E in eV for the cell shown: -22.46
Calculated volume in Å³/atom: 13.93

Lattice parameters (Å, degrees): 4.8785 4.8785 5.2383 119.21 119.21 40.86
Sites, in units of the cell vectors:
1 Zr 0.0000 0.0000 0.0000
2 H 0.3842 0.3842 0.0285
3 H 0.6158 0.6158 0.9715
4 Au 0.1778 0.1778 0.6443
5 Au 0.8222 0.8222 0.3557